[1]
ThZnIn after structural relaxation, computed with GGA-PBE.

a = 5.1318 Å, b = 5.1318 Å, c = 5.1318 Å
α = 60.00°, β = 60.00°, γ = 60.00°
Positions (direct):
Zn 0.7500 0.7500 0.7500
In 0.0000 0.0000 0.0000
Th 0.2500 0.2500 0.2500

As for the final energy: -3.597 eV per atom. The total moment is 0.007 μB/atom.

[2]
HfSiTcNi after structural relaxation, computed with GGA-PBE.

a = 4.3958 Å, b = 4.3958 Å, c = 4.3958 Å
α = 60.00°, β = 60.00°, γ = 60.00°
Positions (direct):
Hf 0.2500 0.2500 0.2500
Tc 0.5000 0.5000 0.5000
Si 0.0000 0.0000 0.0000
Ni 0.7500 0.7500 0.7500

As for the final energy: -7.772 eV per atom. The total moment is 0.011 μB/atom.